No. 1
# TeIrAu

A relaxed structure of TeIrAu (PBE, the Alexandria database).

## Properties
- Space-group type: F-43m
- Magnetization: 0.0000 μB per atom

a = 4.4981 Å, b = 4.4981 Å, c = 4.4981 Å
α = 60.00°, β = 60.00°, γ = 60.00°
Last column: nearest neighbours and their distance in Å.
Fractional coordinates of all 3 atoms:
Au  0.5000  0.5000  0.5000  4 Ir 2.75
Ir  0.7500  0.7500  0.7500  4 Te 2.75, 4 Au 2.75
Te  0.0000  0.0000  0.0000  4 Ir 2.75

No. 2
# TeIr3Au

A relaxed structure of TeIr3Au (PBE, the Alexandria database).

## Properties
- Space-group type: Pm-3m
- Magnetization: 0.0000 μB per atom

a = 4.8324 Å, b = 4.8324 Å, c = 4.8324 Å
α = 90.00°, β = 90.00°, γ = 90.00°
Last column: nearest neighbours and their distance in Å.
Fractional coordinates of all 5 atoms:
Te  0.0000  0.0000  0.0000  6 Ir 2.42
Ir  0.0000  0.5000  0.0000  2 Te 2.42
Ir  0.0000  0.0000  0.5000  2 Te 2.42
Ir  0.5000  0.0000  0.0000  2 Te 2.42
Au  0.5000  0.5000  0.5000  12 Ir 3.42

no.,E (eV/atom)
1,-4.843
2,-4.882